# AlAsI2N

An optimized crystal structure of AlAsI2N (GGA-PBE, Alexandria).

Cell: 6.2238 6.2238 3.6698 Å, 90.00 90.00 90.00°
Element x y z (fractional)
Al (0.5000, 0.5000, 0.5000)
N (0.0000, 0.0000, 0.5000)
I (0.5000, 0.0000, 0.0000)
I (0.0000, 0.5000, 0.0000)
As (0.0000, 0.0000, 0.0000)

Results
E above lowest polymorph (eV per formula unit): 0.91
Energy (eV per formula unit): -16.61
DOS(E_F) (states/eV/atom): 0.535
Formation energy from raw total energies (kJ/mol of atoms): 62